# 1
9
Lattice="-0.878 -4.880 -4.832 -3.285 -5.896 1.579 -7.118 3.431 -2.148" Properties=species:S:1:pos:R:3 comment="CsMgTiBr6, relaxed, DFT PBE" formation_energy_uncorrected_ev_per_atom=-1.425 volume_a3_per_atom=37.797 final_energy_ev_per_cell=-33.210 pbc="T T T"
Cs -7.996 -1.448 -6.977
Mg -4.947 -1.875 -2.155
Ti -6.335 -5.466 -3.235
Br -4.360 -6.010 -4.856
Br -8.465 -5.349 -1.746
Br -6.667 -2.968 -3.915
Br -7.812 -6.177 -5.269
Br -4.640 -4.482 -1.523
Br -6.056 -7.829 -2.162


# 2
5
Lattice="5.136 0.000 0.000 0.000 5.136 0.000 0.000 0.000 5.162" Properties=species:S:1:pos:R:3 comment="ScAgAsSe2, relaxed, DFT PBE" formation_energy_uncorrected_ev_per_atom=-0.043 volume_a3_per_atom=27.229 final_energy_ev_per_cell=-21.015 pbc="T T T"
Sc 0.000 0.000 0.000
As 0.000 0.000 2.581
Se 0.000 2.568 0.000
Se 2.568 0.000 0.000
Ag 2.568 2.568 2.581


# 3
12
Lattice="6.807 0.000 0.000 0.000 6.807 0.000 0.000 0.000 6.807" Properties=species:S:1:pos:R:3 comment="TlAu2, relaxed, DFT PBE" volume_a3_per_atom=26.288 formation_energy_ev_per_atom=0.316 final_energy_ev_per_cell=-31.892 pbc="T T T"
Tl 0.000 0.000 0.000
Tl 3.404 3.404 0.000
Tl 3.404 0.000 3.404
Tl 0.000 3.404 3.404
Au 4.191 4.191 2.616
Au 2.616 2.616 4.191
Au 0.788 6.020 4.191
Au 6.020 0.788 2.616
Au 2.616 0.788 0.788
Au 4.191 6.020 6.020
Au 6.020 2.616 6.020
Au 0.788 4.191 0.788


# 4
20
Lattice="8.389 -1.656 -1.718 1.172 8.714 -2.180 1.172 -2.502 8.627" Properties=species:S:1:pos:R:3 comment="Tb6SmTm2Mg, relaxed, DFT PBE" volume_a3_per_atom=31.424 formation_energy_ev_per_atom=0.121 final_energy_ev_per_cell=-83.658 pbc="T T T"
Tb 1.513 -1.105 6.513
Tb 5.025 -1.165 6.451
Tb 9.219 5.662 -1.785
Tb 5.708 5.722 -1.723
Tb 3.154 -1.304 3.402
Tb 3.384 1.937 6.764
Tb 7.578 5.860 1.327
Tb 7.349 2.620 -2.036
Tb 2.091 5.091 2.208
Tb 4.447 3.367 0.419
Tb 8.642 -0.534 2.521
Tb 6.285 1.190 4.310
Sm 3.269 7.861 -2.187
Sm 7.464 -3.305 6.915
Tm 5.421 4.376 3.425
Tm 1.118 2.124 1.088
Tm 5.312 0.181 1.304
Tm 9.615 2.432 3.640
Mg 3.269 2.065 3.398
Mg 7.464 2.491 1.330


# 5
10
Lattice="6.942 0.000 0.000 0.000 6.942 0.000 0.000 0.000 4.056" Properties=species:S:1:pos:R:3 comment="Cr2GeSb2, relaxed, DFT PBE" formation_energy_uncorrected_ev_per_atom=0.323 volume_a3_per_atom=19.543 final_energy_ev_per_cell=-60.989 pbc="T T T"
Sb 1.111 4.582 2.028
Sb 4.582 5.831 2.028
Sb 5.831 2.360 2.028
Sb 2.360 1.111 2.028
Ge 0.000 0.000 0.000
Ge 3.471 3.471 0.000
Cr 2.424 5.895 0.000
Cr 5.895 4.518 0.000
Cr 4.518 1.047 0.000
Cr 1.047 2.424 0.000


# 6
10
Lattice="7.292 0.000 0.000 0.000 7.292 0.000 0.000 0.000 3.025" Properties=species:S:1:pos:R:3 comment="HfRe2Ge2, relaxed, DFT PBE" volume_a3_per_atom=16.085 formation_energy_ev_per_atom=0.030 final_energy_ev_per_cell=-87.867 pbc="T T T"
Re 1.083 4.729 1.512
Re 4.729 6.210 1.512
Re 6.210 2.563 1.512
Re 2.563 1.083 1.512
Ge 2.582 6.228 0.000
Ge 6.228 4.710 0.000
Ge 4.710 1.064 0.000
Ge 1.064 2.582 0.000
Hf 0.000 0.000 0.000
Hf 3.646 3.646 0.000


# 7
5
Lattice="-4.204 1.937 1.825 -2.498 -1.147 -4.537 -1.262 -4.455 1.821" Properties=species:S:1:pos:R:3 comment="Li2GaRePb, relaxed, DFT PBE" volume_a3_per_atom=26.266 formation_energy_ev_per_atom=1.371 final_energy_ev_per_cell=-16.158 pbc="T T T"
Pb 0.000 0.000 0.000
Re -3.982 -1.833 -0.445
Ga -1.249 -0.574 -2.269
Li -0.631 -2.228 0.911
Li -2.102 0.968 0.912


# 8
4
Lattice="-1.965 -0.225 -4.147 2.537 -3.711 -0.950 -2.633 0.052 3.765" Properties=species:S:1:pos:R:3 comment="Re2HgCl, relaxed, DFT PBE" formation_energy_uncorrected_ev_per_atom=1.286 volume_a3_per_atom=17.233 final_energy_ev_per_cell=-21.901 pbc="T T T"
Cl 0.286 -1.968 -2.549
Hg -2.156 -1.071 -1.465
Re 0.000 0.000 0.000
Re 0.095 -2.814 0.133